Entry from the Alexandria database: Y8GaCo2 after structural relaxation (PBE).

- magnetization (μB/cell) = 0.00
- formation enthalpy at 0 K (kJ/mol of atoms) = -10

Cell: 8.5938 13.0454 5.3469 Å, 90.00 104.06 90.00°
Space group Cm (No. 8)
Inequivalent atoms, fractional coordinates:
Y 0.0000 0.0000 0.0000
Y 0.0794 0.3692 0.7718
Y 0.1802 0.1308 0.6150
Y 0.2603 0.5000 0.3879
Y 0.3797 0.2426 0.1937
Ga 0.3801 0.0000 0.1972
Co 0.3797 0.3066 0.6936